A plane-wave DFT calculation with GGA-PBE was carried out for crystalline Mo2I2N at its relaxed geometry.

Calculated values
The calculation puts the energy above the lowest structure with this stoichiometry at 0.031 eV per atom. The value obtained for the volume is 151.90 Å³/cell. Its space-group type is No. 139.

Unit cell a=5.452 b=5.452 c=6.402 alpha=64.80 beta=64.80 gamma=90.00
Positions (direct):
I 0.250 0.750 0.500
I 0.750 0.250 0.500
N 0.000 0.000 0.000
Mo 0.177 0.177 0.646
Mo 0.823 0.823 0.354

A plane-wave DFT calculation with GGA-PBE was carried out for crystalline MoI2N2 at its relaxed geometry.

Calculated values
The calculation puts the energy above the lowest structure with this stoichiometry at 0.000 eV per atom. The value obtained for the volume is 101.26 Å³/cell. Its space-group type is No. 123.

Unit cell a=4.114 b=4.114 c=5.984 alpha=90.00 beta=90.00 gamma=90.00
Positions (direct):
Mo 0.000 0.000 0.000
I 0.000 0.000 0.500
I 0.500 0.500 0.500
N 0.500 0.000 0.000
N 0.000 0.500 0.000

A plane-wave DFT calculation with GGA-PBE was carried out for crystalline MoIN3 at its relaxed geometry.

Calculated values
The uncorrected energy comes out at -6.296 eV/atom. The value obtained for the volume is 66.06 Å³/cell. Its space-group type is No. 221.

Unit cell a=4.043 b=4.043 c=4.043 alpha=90.00 beta=90.00 gamma=90.00
Positions (direct):
Mo 0.000 0.000 0.000
N 0.000 0.500 0.000
N 0.500 0.000 0.000
N 0.000 0.000 0.500
I 0.500 0.500 0.500

A plane-wave DFT calculation with GGA-PBE was carried out for crystalline NbMoIN2 at its relaxed geometry.

Calculated values
The calculation puts the energy above the lowest structure with this stoichiometry at 0.000 eV per atom. The value obtained for the volume is 98.44 Å³/cell. Its space-group type is No. 123.

Unit cell a=4.094 b=4.094 c=5.874 alpha=90.00 beta=90.00 gamma=90.00
Positions (direct):
N 0.000 0.500 0.000
N 0.500 0.000 0.000
Mo 0.500 0.500 0.500
Nb 0.000 0.000 0.000
I 0.000 0.000 0.500

A plane-wave DFT calculation with GGA-PBE was carried out for crystalline NbMoIN2 at its relaxed geometry.

Calculated values
The calculation puts the energy above the lowest structure with this stoichiometry at 0.031 eV per atom. The value obtained for the volume is 90.12 Å³/cell. Its space-group type is No. 123.

Unit cell a=4.004 b=4.004 c=5.622 alpha=90.00 beta=90.00 gamma=90.00
Positions (direct):
I 0.000 0.000 0.500
N 0.000 0.500 0.000
N 0.500 0.000 0.000
Mo 0.000 0.000 0.000
Nb 0.500 0.500 0.500

A plane-wave DFT calculation with GGA-PBE was carried out for crystalline NiMoIN2 at its relaxed geometry.

Calculated values
The calculation puts the energy above the lowest structure with this stoichiometry at 0.966 eV per atom. The value obtained for the volume is 80.22 Å³/cell. Its space-group type is No. 123.

Unit cell a=3.880 b=3.880 c=5.327 alpha=90.00 beta=90.00 gamma=90.00
Positions (direct):
Mo 0.500 0.500 0.500
N 0.000 0.500 0.000
N 0.500 0.000 0.000
I 0.000 0.000 0.500
Ni 0.000 0.000 0.000

A plane-wave DFT calculation with GGA-PBE was carried out for crystalline NiMoIN2 at its relaxed geometry.

Calculated values
The calculation puts the energy above the lowest structure with this stoichiometry at 0.000 eV per atom. The value obtained for the volume is 87.92 Å³/cell. Its space-group type is No. 123.

Unit cell a=3.871 b=3.871 c=5.867 alpha=90.00 beta=90.00 gamma=90.00
Positions (direct):
Ni 0.500 0.500 0.500
N 0.000 0.500 0.000
N 0.500 0.000 0.000
Mo 0.000 0.000 0.000
I 0.000 0.000 0.500